No. 1
Computed, not measured: a relaxed MnTcTe2 crystal at the PBE-GGA level of DFT.

Calculated values
As for the total magnetization: 1.89 μB/cell. Its offset from the most stable computed form is 145 meV per atom. The value obtained for the formation energy (no corrections) is 0.068 eV/atom. The space group is R3m (160).

Lattice parameters (Å, degrees): 4.0368 4.0368 7.0268 73.29 73.29 60.00
Each line ends with the local moment (μB).
Fractional coordinates of all 4 atoms:
Mn: 0.4739 0.4739 0.5784  2.14
Tc: 0.7815 0.7815 0.6556  -0.41
Te: 0.0339 0.0339 0.8981  0.07
Te: 0.2108 0.2108 0.3679  -0.02


No. 2
Computed, not measured: a relaxed MnTcTe2 crystal at the PBE-GGA level of DFT.

Calculated values
As for the total magnetization: 3.13 μB/cell. Its offset from the most stable computed form is 416 meV per atom. The value obtained for the formation energy (no corrections) is 0.340 eV/atom. The space group is R-3m (166).

Lattice parameters (Å, degrees): 8.1394 8.1394 8.1394 24.13 24.13 24.13
Each line ends with the local moment (μB).
Fractional coordinates of all 4 atoms:
Mn: 0.2500 0.2500 0.2500  3.38
Tc: 0.7500 0.7500 0.7500  -0.27
Te: 0.0011 0.0011 0.0011  -0.04
Te: 0.4989 0.4989 0.4989  -0.04


No. 3
Computed, not measured: a relaxed MnTcTe4 crystal at the PBE-GGA level of DFT.

Calculated values
As for the total magnetization: 8.88 μB/cell. The value obtained for the formation energy (no corrections) is 1.249 eV/atom. The space group is F-43m (216).

Lattice parameters (Å, degrees): 6.2510 6.2510 6.2510 60.00 60.00 60.00
Each line ends with the local moment (μB).
Fractional coordinates of all 6 atoms:
Mn: 0.7500 0.7500 0.7500  4.32
Tc: 0.0000 0.0000 0.0000  3.32
Te: 0.8751 0.3750 0.3750  0.07
Te: 0.3750 0.3750 0.8751  0.07
Te: 0.3750 0.8751 0.3750  0.07
Te: 0.3750 0.3750 0.3750  0.07


No. 4
Computed, not measured: a relaxed MnTcTe2 crystal at the PBE-GGA level of DFT.

Calculated values
As for the total magnetization: 4.59 μB/cell. Its offset from the most stable computed form is 384 meV per atom. The value obtained for the formation energy (no corrections) is 0.308 eV/atom. The space group is C2/m (12).

Lattice parameters (Å, degrees): 4.3207 4.3207 6.2293 77.83 77.83 48.02
Each line ends with the local moment (μB).
Fractional coordinates of all 4 atoms:
Mn: 0.2500 0.2500 0.2500  3.92
Tc: 0.7500 0.7500 0.7500  0.37
Te: 0.0075 0.0075 0.9833  -0.01
Te: 0.4925 0.4925 0.5167  -0.01


No. 5
Computed, not measured: a relaxed MnTcTe2 crystal at the PBE-GGA level of DFT.

Calculated values
As for the total magnetization: 2.69 μB/cell. Its offset from the most stable computed form is 0 meV per atom. The value obtained for the formation energy (no corrections) is -0.076 eV/atom. The space group is Pm (6).

Lattice parameters (Å, degrees): 3.8675 3.8651 6.7938 89.85 90.00 90.00
Each line ends with the local moment (μB).
Fractional coordinates of all 4 atoms:
Mn: 0.0000 0.3748 0.6249  2.99
Tc: 0.5000 0.8751 0.6251  -0.12
Te: 0.0000 0.8736 0.8930  -0.09
Te: 0.5000 0.3764 0.3570  -0.09


No. 6
Computed, not measured: a relaxed MnTcTe2 crystal at the PBE-GGA level of DFT.

Calculated values
As for the total magnetization: 2.63 μB/cell. Its offset from the most stable computed form is 682 meV per atom. The value obtained for the formation energy (no corrections) is 0.606 eV/atom. The space group is R-3m (166).

Lattice parameters (Å, degrees): 8.8586 8.8586 8.8586 21.64 21.64 21.64
Each line ends with the local moment (μB).
Fractional coordinates of all 4 atoms:
Te: 0.9014 0.9014 0.9014  -0.08
Te: 0.0986 0.0986 0.0986  -0.08
Tc: 0.0000 0.0000 0.0000  0.50
Mn: 0.5000 0.5000 0.5000  2.19


No. 7
Computed, not measured: a relaxed MnTcTe2 crystal at the PBE-GGA level of DFT.

Calculated values
As for the total magnetization: 3.46 μB/cell. Its offset from the most stable computed form is 264 meV per atom. The value obtained for the formation energy (no corrections) is 0.188 eV/atom. The space group is Imm2 (44).

Lattice parameters (Å, degrees): 7.4928 7.4928 7.4928 153.32 149.56 40.92
Each line ends with the local moment (μB).
Fractional coordinates of all 4 atoms:
Mn: 0.4394 0.4394 0.0000  3.35
Tc: 0.8277 0.3277 0.5000  -0.18
Te: 0.9892 0.9892 0.0000  -0.03
Te: 0.2437 0.7437 0.5000  0.03


No. 8
Computed, not measured: a relaxed MnTcTe2 crystal at the PBE-GGA level of DFT.

Calculated values
As for the total magnetization: 0.00 μB/cell. Its offset from the most stable computed form is 678 meV per atom. The value obtained for the formation energy (no corrections) is 0.602 eV/atom. The space group is I-42d (122).

Lattice parameters (Å, degrees): 5.8729 5.8729 7.1344 65.70 65.70 90.00
Fractional coordinates of all 8 atoms:
Te: 0.6098 0.1250 0.2500
Te: 0.1402 0.6250 0.2500
Te: 0.3750 0.3902 0.7500
Te: 0.8750 0.8598 0.7500
Tc: 0.0000 0.0000 0.0000
Tc: 0.7500 0.2500 0.5000
Mn: 0.5000 0.5000 0.0000
Mn: 0.2500 0.7500 0.5000


No. 9
Computed, not measured: a relaxed MnTcTe2 crystal at the PBE-GGA level of DFT.

Calculated values
As for the total magnetization: 4.11 μB/cell. Its offset from the most stable computed form is 121 meV per atom. The value obtained for the formation energy (no corrections) is 0.045 eV/atom. The space group is P4mm (99).

Lattice parameters (Å, degrees): 3.4176 3.4177 7.7360 90.00 90.00 90.00
Each line ends with the local moment (μB).
Fractional coordinates of all 4 atoms:
Mn: 0.0000 0.0000 0.5253  3.51
Tc: 0.5000 0.5000 0.7179  0.43
Te: 0.0000 0.0000 0.8991  0.03
Te: 0.5000 0.5000 0.3577  -0.09


No. 10
Computed, not measured: a relaxed Mn2Tc2Te crystal at the PBE-GGA level of DFT.

Calculated values
As for the total magnetization: 0.00 μB/cell. Its offset from the most stable computed form is 0 meV per atom. The value obtained for the formation energy (no corrections) is 0.381 eV/atom. The space group is I4/mmm (139).

Lattice parameters (Å, degrees): 3.2741 3.2741 7.3878 77.20 77.20 90.00
Fractional coordinates of all 5 atoms:
Te: 0.0000 0.0000 0.0000
Tc: 0.3911 0.3911 0.2179
Tc: 0.6089 0.6089 0.7821
Mn: 0.7500 0.2500 0.5000
Mn: 0.2500 0.7500 0.5000


No. 11
Computed, not measured: a relaxed MnTcTe2 crystal at the PBE-GGA level of DFT.

Calculated values
As for the total magnetization: 0.00 μB/cell. Its offset from the most stable computed form is 546 meV per atom. The value obtained for the formation energy (no corrections) is 0.469 eV/atom. The space group is Fm-3m (225).

Lattice parameters (Å, degrees): 4.6139 4.6139 4.6139 60.00 60.00 60.00
Fractional coordinates of all 4 atoms:
Te: 0.2500 0.2500 0.2500
Te: 0.7500 0.7500 0.7500
Tc: 0.5000 0.5000 0.5000
Mn: 0.0000 0.0000 0.0000


No. 12
Computed, not measured: a relaxed Mn4TcTe crystal at the PBE-GGA level of DFT.

Calculated values
As for the total magnetization: 7.09 μB/cell. The value obtained for the formation energy (no corrections) is 0.394 eV/atom. The space group is F-43m (216).

Lattice parameters (Å, degrees): 4.8647 4.8647 4.8647 60.00 60.00 60.00
Each line ends with the local moment (μB).
Fractional coordinates of all 6 atoms:
Mn: 0.8711 0.3763 0.3763  1.74
Mn: 0.3763 0.3763 0.8711  1.74
Mn: 0.3763 0.8711 0.3763  1.74
Mn: 0.3763 0.3763 0.3763  1.74
Tc: 0.7500 0.7500 0.7500  -0.10
Te: 0.0000 0.0000 0.0000  0.01


No. 13
Computed, not measured: a relaxed ThMnTc crystal at the PBE-GGA level of DFT.

Calculated values
As for the total magnetization: 0.00 μB/cell. Its offset from the most stable computed form is 92 meV per atom. The space group is P3m1 (156).

Lattice parameters (Å, degrees): 4.5259 3.9601 3.9601 120.00 90.00 90.00
Fractional coordinates of all 3 atoms:
Mn: 0.2127 0.6667 0.3333
Tc: 0.1250 0.0000 0.0000
Th: 0.6623 0.3333 0.6667


No. 14
Computed, not measured: a relaxed ThMnTc crystal at the PBE-GGA level of DFT.

Calculated values
As for the total magnetization: 5.34 μB/cell. Its offset from the most stable computed form is 0 meV per atom. The space group is Imma (74).

Lattice parameters (Å, degrees): 5.4631 5.4631 5.4631 87.89 120.33 122.13
Each line ends with the local moment (μB).
Fractional coordinates of all 6 atoms:
Th: 0.2500 0.1230 0.8730  -0.16
Th: 0.7500 0.8770 0.1270  -0.16
Mn: 0.5000 0.5000 0.5000  2.68
Mn: 0.0000 0.5000 0.0000  2.68
Tc: 0.0000 0.5000 0.5000  0.11
Tc: 0.5000 0.0000 0.5000  0.11